A geometry-optimized MnBeZn2 structure. Source: the Alexandria database, functional GGA-PBE. Values from VASP.

Geometry as Quantum ESPRESSO input:
```
&SYSTEM
  ibrav = 0, nat = 4, ntyp = 3
/
ATOMIC_SPECIES
Mn 54.94 Mn.upf
Be 9.01 Be.upf
Zn 65.41 Zn.upf
ATOMIC_POSITIONS angstrom
Mn 0.000 0.000 0.000
Be 0.000 0.000 4.196
Zn 1.436 0.000 2.263
Zn 0.000 2.007 1.933
CELL_PARAMETERS angstrom
-1.436 2.007 4.196
1.436 -2.007 4.196
1.436 2.007 -4.196
```

Calculated values
Its density of states at the Fermi level is 2.4 states/eV per cell. The calculation puts the total energy at -14.940 eV/cell. As for the energy of formation from the pure elements: 12 kJ/mol of atoms.